Record 1
SmGa2SbO8: optimized geometry, PBE.

Structure (POSCAR):
```
SmGa2SbO8
1.0
-3.461 3.461 3.288
3.461 -3.461 3.288
3.461 3.461 -3.288
Sm Ga Sb O
1 2 1 8
direct
0.000 0.000 0.000 Sm
0.250 0.750 0.500 Ga
0.500 0.500 0.000 Ga
0.750 0.250 0.500 Sb
0.036 0.365 0.329 O
0.036 0.707 0.671 O
0.109 0.311 0.798 O
0.293 0.964 0.329 O
0.512 0.311 0.202 O
0.635 0.964 0.671 O
0.689 0.488 0.798 O
0.689 0.891 0.202 O
```

Summary:
ΔE_f (raw): -1.5559 eV/atom

=====

Record 2
Sr3Ga2SbO9: optimized geometry, PBE.

Structure (POSCAR):
```
Sr3Ga2SbO9
1.0
5.619 0.000 0.000
-2.810 4.867 0.000
0.000 0.000 6.923
Sr Ga Sb O
3 2 1 9
direct
0.000 0.000 0.000 Sr
0.333 0.667 0.678 Sr
0.667 0.333 0.322 Sr
0.333 0.667 0.161 Ga
0.667 0.333 0.839 Ga
0.000 0.000 0.500 Sb
0.000 0.500 0.000 O
0.166 0.333 0.333 O
0.166 0.834 0.333 O
0.333 0.166 0.667 O
0.500 0.000 0.000 O
0.500 0.500 0.000 O
0.667 0.834 0.333 O
0.834 0.166 0.667 O
0.834 0.667 0.667 O
```

Summary:
ΔE_f (raw): -2.1244 eV/atom

=====

Record 3
Sr3Ga2SbO8: optimized geometry, PBE.

Structure (POSCAR):
```
Sr3Ga2SbO8
1.0
5.798 0.000 0.000
-2.899 5.021 0.000
0.000 0.000 7.251
Sr Ga Sb O
3 2 1 8
direct
0.000 0.000 0.000 Sr
0.333 0.667 0.644 Sr
0.667 0.333 0.356 Sr
0.333 0.667 0.200 Ga
0.667 0.333 0.800 Ga
0.000 0.000 0.500 Sb
0.166 0.333 0.324 O
0.166 0.834 0.324 O
0.333 0.166 0.676 O
0.333 0.667 0.956 O
0.667 0.333 0.044 O
0.667 0.834 0.324 O
0.834 0.166 0.676 O
0.834 0.667 0.676 O
```

Summary:
ΔE_f (raw): -2.1100 eV/atom

=====

Record 4
Sr2GaSbO6: optimized geometry, PBE.

Structure (POSCAR):
```
Sr2GaSbO6
1.0
5.663 0.000 0.000
0.000 5.633 0.000
-5.663 0.000 7.961
Sr Ga Sb O
4 2 2 12
direct
0.247 0.015 0.250 Sr
0.247 0.485 0.750 Sr
0.753 0.515 0.250 Sr
0.753 0.985 0.750 Sr
0.500 0.000 0.000 Ga
0.500 0.500 0.500 Ga
0.000 0.000 0.500 Sb
0.000 0.500 0.000 Sb
0.200 0.230 0.971 O
0.200 0.270 0.471 O
0.241 0.729 0.971 O
0.241 0.771 0.471 O
0.304 0.006 0.750 O
0.304 0.494 0.250 O
0.696 0.506 0.750 O
0.696 0.994 0.250 O
0.759 0.229 0.529 O
0.759 0.271 0.029 O
0.800 0.730 0.529 O
0.800 0.770 0.029 O
```

Summary:
ΔE_f (raw): -2.2144 eV/atom

=====

Record 5
Sr2GaSbO6: optimized geometry, PBE.

Structure (POSCAR):
```
Sr2GaSbO6
1.0
-2.797 2.797 4.052
2.797 -2.797 4.052
2.797 2.797 -4.052
Sr Ga Sb O
2 1 1 6
direct
0.250 0.750 0.500 Sr
0.750 0.250 0.500 Sr
0.000 0.000 0.000 Ga
0.500 0.500 0.000 Sb
0.208 0.709 0.917 O
0.252 0.252 0.000 O
0.291 0.208 0.499 O
0.709 0.792 0.501 O
0.748 0.748 0.000 O
0.792 0.291 0.083 O
```

Summary:
ΔE_f (raw): -2.2130 eV/atom

=====

Record 6
SrGaSbO6: optimized geometry, PBE.

Structure (POSCAR):
```
SrGaSbO6
1.0
5.312 0.000 0.000
-2.656 4.601 0.000
0.000 0.000 10.863
Sr Ga Sb O
2 2 2 12
direct
0.000 0.000 0.000 Sr
0.000 0.000 0.500 Sr
0.333 0.667 0.250 Ga
0.667 0.333 0.750 Ga
0.333 0.667 0.750 Sb
0.667 0.333 0.250 Sb
0.001 0.370 0.649 O
0.001 0.631 0.851 O
0.369 0.370 0.851 O
0.369 0.999 0.649 O
0.370 0.001 0.149 O
0.370 0.369 0.351 O
0.630 0.631 0.649 O
0.630 0.999 0.851 O
0.631 0.001 0.351 O
0.631 0.630 0.149 O
0.999 0.369 0.149 O
0.999 0.630 0.351 O
```

Summary:
ΔE_f (raw): -1.5605 eV/atom

=====

Record 7
TaGaSbO6: optimized geometry, PBE.

Structure (POSCAR):
```
TaGaSbO6
1.0
5.174 0.000 0.000
-2.587 4.480 0.000
0.000 0.000 9.276
Ta Ga Sb O
2 2 2 12
direct
0.333 0.667 0.250 Ta
0.667 0.333 0.750 Ta
0.333 0.667 0.750 Ga
0.667 0.333 0.250 Ga
0.000 0.000 0.000 Sb
0.000 0.000 0.500 Sb
0.001 0.347 0.133 O
0.001 0.654 0.367 O
0.346 0.347 0.367 O
0.346 0.999 0.133 O
0.347 0.001 0.633 O
0.347 0.346 0.867 O
0.653 0.654 0.133 O
0.653 0.999 0.367 O
0.654 0.001 0.867 O
0.654 0.653 0.633 O
0.999 0.346 0.633 O
0.999 0.653 0.867 O
```

Summary:
ΔE_f (raw): -1.9315 eV/atom

=====

Record 8
Ta2GaSbO: optimized geometry, PBE.

Structure (POSCAR):
```
Ta2GaSbO
1.0
5.237 0.000 0.000
0.000 5.237 0.000
0.000 0.000 3.974
Ta Ga Sb O
2 1 1 1
direct
0.000 0.500 0.000 Ta
0.500 0.000 0.000 Ta
0.000 0.000 0.500 Ga
0.500 0.500 0.000 Sb
0.500 0.500 0.500 O
```

Summary:
ΔE_f (raw): 1.1181 eV/atom